1.
The following is a DFT calculation (PBE) of crystalline ErHfPbC at its relaxed geometry.

abc: 3.4630 3.4630 15.3524
angles: 90.00 90.00 120.00
Sites, in units of the cell vectors:
Er 0.0000 0.0000 0.1737
Er 0.0000 0.0000 0.8263
Hf 0.3333 0.6667 0.3381
Hf 0.3333 0.6667 0.6619
Pb 0.0000 0.0000 0.5000
Pb 0.3333 0.6667 0.0000
C 0.6667 0.3333 0.2667
C 0.6667 0.3333 0.7333

Calculated values
- E above lowest polymorph: 0.0085 eV/atom


2.
The following is a DFT calculation (PBE) of crystalline ErHfPbC at its relaxed geometry.

abc: 3.4743 3.4743 15.3498
angles: 90.00 90.00 120.00
Sites, in units of the cell vectors:
Er 0.3333 0.6667 0.0860
Er 0.6667 0.3333 0.9140
Hf 0.3333 0.6667 0.4234
Hf 0.6667 0.3333 0.5766
Pb 0.3333 0.6667 0.7379
Pb 0.6667 0.3333 0.2621
C 0.0000 0.0000 0.0000
C 0.0000 0.0000 0.5000

Calculated values
- E above lowest polymorph: 0.0407 eV/atom


3.
The following is a DFT calculation (PBE) of crystalline ErHf3Pb2C2 at its relaxed geometry.

abc: 3.4150 3.4150 15.0418
angles: 90.00 90.00 120.00
Sites, in units of the cell vectors:
Er 0.0000 0.0000 0.0000
Hf 0.0000 0.0000 0.3434
Hf 0.3333 0.6667 0.5007
Hf 0.3333 0.6667 0.8312
Pb 0.0000 0.0000 0.6658
Pb 0.3333 0.6667 0.1775
C 0.6667 0.3333 0.4222
C 0.6667 0.3333 0.9056


4.
The following is a DFT calculation (PBE) of crystalline ErHfPbC at its relaxed geometry.

abc: 3.4610 3.4610 15.3598
angles: 90.00 90.00 120.00
Sites, in units of the cell vectors:
Er 0.3333 0.6667 0.0000
Er 0.6667 0.3333 0.5000
Hf 0.3333 0.6667 0.3357
Hf 0.6667 0.3333 0.8357
Pb 0.3333 0.6667 0.6733
Pb 0.6667 0.3333 0.1733
C 0.0000 0.0000 0.4076
C 0.0000 0.0000 0.9076

Calculated values
- E above lowest polymorph: 0.0000 eV/atom


Number 1: E -7.4566 eV/atom. Number 2: E -7.4244 eV/atom. Number 3: E -8.1486 eV/atom. Number 4: E -7.4651 eV/atom.